VTc2HRh: optimized geometry, PBE-GGA.

Output
distance to the lowest polymorph of the same formula	0.0000	eV/atom
SG	No. 123
E	-41.1	eV per cell
magnetization	0.000	μB/f.u.

Cell: 3.869 3.869 3.917 Å, 90.00 90.00 90.00°
Element x y z (fractional)
H  0.000  0.000  0.000
Rh  0.500  0.500  0.500
Tc  0.000  0.500  0.000
Tc  0.500  0.000  0.000
V  0.000  0.000  0.500


Ac3Tb3Pr5: optimized geometry, PBE-GGA.

Output
SG	No. 189
E	-42.7	eV per cell
E_form	0.6783	eV/atom
magnetization	0.000	μB/f.u.

Cell: 6.117 9.780 9.780 Å, 120.00 90.00 90.00°
Element x y z (fractional)
Ac  0.000  0.585  0.000
Ac  0.000  0.000  0.585
Ac  0.000  0.415  0.415
Tb  0.500  0.746  0.000
Tb  0.500  0.254  0.254
Tb  0.500  0.000  0.746
Pr  0.500  0.667  0.333
Pr  0.500  0.333  0.667
Pr  0.500  0.377  0.000
Pr  0.500  0.623  0.623
Pr  0.500  0.000  0.377


TaMnGe2Ir: optimized geometry, PBE-GGA.

Output
SG	No. 123
E	-35.5	eV per cell
E_form	0.7143	eV/atom
magnetization	0.000	μB/f.u.

Cell: 4.374 4.632 4.374 Å, 90.00 90.00 90.00°
Element x y z (fractional)
Ge  0.000  0.000  0.500
Ge  0.500  0.000  0.000
Ir  0.500  0.500  0.500
Mn  0.000  0.000  0.000
Ta  0.000  0.500  0.000


Ho6Tl3Ni: optimized geometry, PBE-GGA.

Output
SG	No. 14
E	-85.0	eV per cell
E_form	-0.2153	eV/atom
magnetization	0.000	μB/f.u.

Cell: 6.131 8.772 10.501 Å, 90.00 87.30 90.00°
Element x y z (fractional)
Ho  0.625  0.158  0.941
Ho  0.594  0.200  0.566
Ho  0.634  0.447  0.273
Ho  0.366  0.553  0.727
Ho  0.406  0.800  0.434
Ho  0.375  0.842  0.059
Ho  0.125  0.342  0.441
Ho  0.094  0.300  0.066
Ho  0.134  0.053  0.773
Ho  0.866  0.947  0.227
Ho  0.906  0.700  0.934
Ho  0.875  0.658  0.559
Tl  0.591  0.887  0.737
Tl  0.500  0.500  0.000
Tl  0.409  0.113  0.263
Tl  0.091  0.613  0.237
Tl  0.000  0.000  0.500
Tl  0.909  0.387  0.763
Ni  0.500  0.500  0.500
Ni  0.000  0.000  0.000


PaAl5Au: optimized geometry, PBE-GGA.

Output
SG	No. 123
E	-33.4	eV per cell
E_form	-0.2733	eV/atom
magnetization	0.003	μB/f.u.

Cell: 4.386 4.386 7.045 Å, 90.00 90.00 90.00°
Element x y z (fractional)
Pa  0.000  0.000  0.000
Al  0.500  0.000  0.711
Al  0.000  0.500  0.711
Al  0.500  0.500  0.000
Al  0.000  0.500  0.289
Al  0.500  0.000  0.289
Au  0.000  0.000  0.500


Li2SmTh2Pb2: optimized geometry, PBE-GGA.

Output
SG	No. 166
E	-31.8	eV per cell
E_form	-0.1493	eV/atom
magnetization	0.000	μB/f.u.

Cell: 4.883 4.883 9.629 Å, 75.31 75.31 60.00°
Element x y z (fractional)
Li  0.595  0.595  0.214
Li  0.405  0.405  0.786
Sm  0.000  0.000  0.000
Th  0.132  0.132  0.605
Th  0.868  0.868  0.395
Pb  0.733  0.733  0.800
Pb  0.267  0.267  0.200


IrRh2Pb: optimized geometry, PBE-GGA.

Output
SG	No. 119
E	-26.5	eV per cell
E_form	0.2032	eV/atom
magnetization	0.004	μB/f.u.

Cell: 4.853 4.853 4.853 Å, 130.03 130.03 73.35°
Element x y z (fractional)
Ir  0.500  0.500  0.000
Rh  0.000  0.000  0.000
Rh  0.250  0.750  0.500
Pb  0.750  0.250  0.500


KBa3Si: optimized geometry, PBE-GGA.

Output
uncorrected formation energy	1.012	eV per atom
distance to the lowest polymorph of the same formula	1.0742	eV/atom
SG	No. 221
E	-7.2	eV per cell
magnetization	2.387	μB/f.u.

Cell: 6.410 6.410 6.410 Å, 90.00 90.00 90.00°
Element x y z (fractional)
K  0.000  0.000  0.000
Si  0.500  0.500  0.500
Ba  0.000  0.500  0.000
Ba  0.000  0.000  0.500
Ba  0.500  0.000  0.000